Entry 1:
{"formula": "Ac3NiPd2", "functional": "PBE-GGA", "state": "optimized geometry", "lattice": [[4.286, 0.000, 0.000], [0.000, 12.622, 0.000], [0.000, 0.000, 12.459]], "species": ["Ac", "Ac", "Ac", "Ni", "Ac", "Ac", "Ac", "Ac", "Pd", "Pd", "Ac", "Ac", "Ni", "Pd", "Pd", "Pd", "Ni", "Ac", "Pd", "Pd", "Ni", "Ac", "Ac", "Pd"], "frac_coords": [[0.250, 0.445, 0.381], [0.250, 0.128, 0.559], [0.750, 0.307, 0.781], [0.750, 0.874, 0.877], [0.250, 0.693, 0.219], [0.250, 0.372, 0.059], [0.250, 0.055, 0.881], [0.250, 0.807, 0.719], [0.750, 0.307, 0.514], [0.750, 0.990, 0.684], [0.750, 0.945, 0.119], [0.750, 0.555, 0.619], [0.750, 0.626, 0.377], [0.750, 0.193, 0.014], [0.250, 0.807, 0.986], [0.750, 0.510, 0.184], [0.250, 0.126, 0.123], [0.750, 0.628, 0.941], [0.250, 0.010, 0.316], [0.250, 0.490, 0.816], [0.250, 0.374, 0.623], [0.750, 0.193, 0.281], [0.750, 0.872, 0.441], [0.250, 0.693, 0.486]], "e_tot_ev_per_atom": -5.34, "formation_energy_mev_per_atom": -596}

Entry 2:
{"formula": "ZnFe2HRh", "functional": "PBE-GGA", "state": "optimized geometry", "lattice": [[-0.927, -3.171, 1.539], [3.503, -1.007, 0.036], [0.442, 1.672, 3.711]], "species": ["Fe", "H", "Zn", "Fe", "Rh"], "frac_coords": [[0.000, 0.500, 0.000], [0.000, 0.000, 0.000], [0.000, 0.000, 0.500], [0.500, 0.000, 0.000], [0.500, 0.500, 0.500]], "e_tot_ev_per_atom": -5.78}

Entry 3:
{"formula": "CdPt2PbO8", "functional": "PBE-GGA", "state": "optimized geometry", "lattice": [[5.683, 0.000, 0.000], [-2.842, 4.922, 0.000], [0.000, 0.000, 6.211]], "species": ["O", "O", "O", "O", "Pt", "Pb", "O", "O", "O", "O", "Pt", "Cd"], "frac_coords": [[0.945, 0.613, 0.850], [0.387, 0.332, 0.850], [0.668, 0.055, 0.850], [0.613, 0.668, 0.150], [0.667, 0.333, 0.047], [0.000, 0.000, 0.500], [0.667, 0.333, 0.355], [0.055, 0.387, 0.150], [0.333, 0.667, 0.645], [0.332, 0.945, 0.150], [0.333, 0.667, 0.953], [0.000, 0.000, 0.000]], "e_tot_ev_per_atom": -4.82, "e_form_raw_mev_per_atom": -122.6}

Entry 4:
{"formula": "YBeTl", "functional": "PBE-GGA", "state": "optimized geometry", "lattice": [[6.335, 0.000, 0.000], [0.000, 4.573, 0.000], [0.000, 0.000, 8.779]], "species": ["Be", "Tl", "Y", "Be", "Y", "Tl", "Y", "Tl", "Y", "Be", "Be", "Tl"], "frac_coords": [[0.347, 0.250, 0.084], [0.990, 0.250, 0.709], [0.178, 0.750, 0.920], [0.653, 0.750, 0.916], [0.322, 0.250, 0.420], [0.010, 0.750, 0.291], [0.822, 0.250, 0.080], [0.490, 0.250, 0.791], [0.678, 0.750, 0.580], [0.153, 0.750, 0.584], [0.847, 0.250, 0.416], [0.510, 0.750, 0.209]], "e_tot_ev_per_atom": -4.16, "formation_energy_mev_per_atom": 24}